Entry from the Alexandria database: crystalline AgGeB at its relaxed geometry (PBE).

extended XYZ file:
```
6
Lattice="3.519 -2.032 0.000 0.000 4.063 0.000 0.000 0.000 7.576" Properties=species:S:1:pos:R:3 pbc="T T T"
Ag 2.346 0.000 5.682
Ag 1.173 2.032 1.894
Ge 0.000 0.000 0.000
Ge 0.000 0.000 3.788
B 0.000 0.000 5.682
B 0.000 0.000 1.894
```

Values from the calculation:
Its final energy is -23.28 eV for the cell shown. As for the calculated formation energy: 2.51 eV per formula unit. Its space group is P6_3/mmc.